(1)
Compound: Ti2BeTe2
Source: Alexandria via LeMat-Bulk
Functional: PBEsol
Structure: optimized geometry

Calculated values
The formation energy (no corrections) comes out at 0.2328 eV per atom. Its space group is No. 139.

The structure in POSCAR format:
```
Ti2BeTe2
1.0
3.7300 0.0000 0.0000
0.0000 3.7300 0.0000
-1.8650 -1.8650 7.6621
Be Te Ti
1 2 2
direct
0.0000 0.0000 0.0000
0.3877 0.3877 0.7753
0.6123 0.6123 0.2247
0.2500 0.7500 0.5000
0.7500 0.2500 0.5000
```


(2)
Compound: CuAgOs2
Source: Alexandria via LeMat-Bulk
Functional: PBEsol
Structure: optimized geometry

Calculated values
For the formation energy, the calculation gives 733.2 meV/atom. Its space group is No. 123. The offset from the most stable computed form is 246 meV per atom.

The structure in POSCAR format:
```
CuAgOs2
1.0
2.6070 0.0000 0.0000
0.0000 2.6070 0.0000
0.0000 0.0000 8.2877
Ag Cu Os
1 1 2
direct
0.5000 0.5000 0.0000
0.5000 0.5000 0.5000
0.0000 0.0000 0.7310
0.0000 0.0000 0.2690
```


(3)
Compound: K2AlFe
Source: Alexandria via LeMat-Bulk
Functional: PBEsol
Structure: optimized geometry

Calculated values
For the formation energy, the calculation gives 473.0 meV/atom. Its space group is No. 99.

The structure in POSCAR format:
```
K2AlFe
1.0
3.4469 0.0000 0.0000
0.0000 3.4469 0.0000
0.0000 0.0000 10.1480
K Fe Al
2 1 1
direct
0.0000 0.0000 0.9227
0.5000 0.5000 0.3279
0.5000 0.5000 0.6397
0.0000 0.0000 0.6097
```


(4)
Compound: Li3Au
Source: Alexandria via LeMat-Bulk
Functional: PBEsol
Structure: optimized geometry

Calculated values
For the formation energy, the calculation gives -369.0 meV/atom. Its space group is No. 139.

The structure in POSCAR format:
```
Li3Au
1.0
4.1705 0.0000 0.0000
0.0000 4.1705 0.0000
-2.0852 -2.0852 3.4424
Au Li
1 3
direct
0.0000 0.0000 0.0000
0.5000 0.5000 0.0000
0.2500 0.7500 0.5000
0.7500 0.2500 0.5000
```


(5)
Compound: ScMnCd3
Source: Alexandria via LeMat-Bulk
Functional: PBEsol
Structure: optimized geometry

Calculated values
For the formation energy, the calculation gives 588.6 meV/atom. Its space group is No. 221.

The structure in POSCAR format:
```
ScMnCd3
1.0
4.9056 0.0000 0.0000
0.0000 4.9056 0.0000
0.0000 0.0000 4.9056
Sc Mn Cd
1 1 3
direct
0.5000 0.5000 0.5000
0.0000 0.0000 0.0000
0.0000 0.5000 0.0000
0.0000 0.0000 0.5000
0.5000 0.0000 0.0000
```


(6)
Compound: Co2NiMo
Source: Alexandria via LeMat-Bulk
Functional: PBEsol
Structure: optimized geometry

Calculated values
For the formation energy, the calculation gives -50.7 meV/atom. Its space group is No. 139. The offset from the most stable computed form is 0 meV per atom.

The structure in POSCAR format:
```
Co2NiMo
1.0
3.5920 0.0000 0.0000
0.0000 3.5920 0.0000
-1.7960 -1.7960 3.4777
Ni Mo Co
1 1 2
direct
0.5000 0.5000 0.0000
0.0000 0.0000 0.0000
0.7500 0.2500 0.5000
0.2500 0.7500 0.5000
```